Here is a geometry-optimized Tb3Ho6Tm2Sc structure from the Alexandria database. Energies are from GGA-PBE.

Cell and atoms, written as CIF:
```
data_Tb3Ho6Tm2Sc
_cell_length_a 6.079
_cell_length_b 10.515
_cell_length_c 11.609
_cell_angle_alpha 90.00
_cell_angle_beta 100.00
_cell_angle_gamma 90.00
_symmetry_space_group_name_H-M 'C 1 2/m 1'
_symmetry_Int_Tables_number 12
_symmetry_space_group_name_Hall '-C 2y'
loop_
_atom_site_label
_atom_site_fract_x
_atom_site_fract_y
_atom_site_fract_z
_atom_site_occupancy
Tb1 0.000 0.000 0.000 1
Tb2 0.000 0.333 0.000 1
Ho1 0.247 0.334 0.746 1
Ho2 0.250 0.000 0.746 1
Tm1 0.000 0.167 0.500 1
Sc1 0.000 0.500 0.500 1
```

Values from the calculation:
DFT formation energy = 0.03 eV per atom
Calculated volume = 30.5 Å³/atom